Entry 1:
A plane-wave DFT calculation with PBE-GGA was carried out for BaCePuO6 after structural relaxation.

The structure in POSCAR format:
```
BaCePuO6
1.0
-4.1269 4.1972 -1.0333
2.4205 -2.9992 -4.5675
-7.7905 -7.4691 0.7760
Ba O Ce Pu
2 12 2 2
Direct
0.0000 0.0000 0.5000
0.0000 0.0000 0.0000
0.0241 0.3879 0.6495
0.6121 0.9759 0.8505
0.3879 0.0241 0.1495
0.9759 0.6121 0.3505
0.6121 0.6363 0.6495
0.6363 0.6121 0.1495
0.9759 0.3637 0.1495
0.3637 0.3879 0.8505
0.3637 0.9759 0.6495
0.6363 0.0241 0.3505
0.3879 0.3637 0.3505
0.0241 0.6363 0.8505
0.6667 0.3333 0.7500
0.3333 0.6667 0.2500
0.6667 0.3333 0.2500
0.3333 0.6667 0.7500
```

## Properties
- ΔE_f (raw): -2.92 eV per atom
- SG: P-31c, No. 163


Entry 2:
A plane-wave DFT calculation with PBE-GGA was carried out for Tl6Bi3Br14 after structural relaxation.

The structure in POSCAR format:
```
Tl6Bi3Br14
1.0
7.9053 0.0000 0.0000
0.0000 10.0551 -5.8053
0.0000 0.0000 11.6106
Br Tl Bi
14 6 3
Direct
0.2241 0.5206 0.0969
0.5227 0.1988 0.7714
0.6449 0.4312 0.2352
0.9914 0.1575 0.9187
0.6449 0.7648 0.1959
0.9927 0.3333 0.6667
0.4264 0.0000 0.0000
0.5227 0.5726 0.8012
0.9914 0.0813 0.2388
0.9914 0.7612 0.8425
0.2241 0.9031 0.4237
0.2241 0.5763 0.4794
0.6449 0.8041 0.5688
0.5227 0.2286 0.4274
0.8172 0.4453 0.9795
0.8172 0.5342 0.5547
0.2466 0.8094 0.0968
0.8172 0.0205 0.4658
0.2466 0.2874 0.1906
0.2466 0.9032 0.7126
0.3610 0.3333 0.6667
0.7849 0.0000 0.0000
0.4371 0.6667 0.3333
```

## Properties
- ΔE_f (raw): -0.73 eV per atom
- SG: P3, No. 143


Entry 3:
A plane-wave DFT calculation with PBE-GGA was carried out for Pm4Ni3Sb8 after structural relaxation.

The structure in POSCAR format:
```
Pm4Ni3Sb8
1.0
4.3931 0.0000 0.0000
0.0000 4.3931 0.0000
0.0000 0.0000 19.2512
Sb Pm Ni
8 4 3
Direct
0.0000 0.5000 0.9372
0.0000 0.5000 0.4319
0.5000 0.5000 0.7517
0.5000 0.0000 0.0628
0.0000 0.0000 0.2482
0.0000 0.0000 0.7518
0.5000 0.0000 0.5681
0.5000 0.5000 0.2483
0.5000 0.0000 0.8831
0.0000 0.5000 0.1169
0.0000 0.5000 0.6216
0.5000 0.0000 0.3784
0.0000 0.0000 0.0000
0.5000 0.5000 0.5000
0.0000 0.0000 0.5000
```

## Properties
- ΔE_f (raw): -0.75 eV per atom
- SG: P-4m2, No. 115


Entry 4:
A plane-wave DFT calculation with PBE-GGA was carried out for TaCu2Re after structural relaxation.

The structure in POSCAR format:
```
TaCu2Re
1.0
2.6911 -0.0037 0.0000
-0.7241 2.5919 0.0000
0.0000 0.0000 8.3549
Re Cu Ta
1 2 1
Direct
0.0000 0.0000 0.4880
0.5000 0.5000 0.2420
0.0000 0.0000 0.0136
0.5000 0.5000 0.7564
```

## Properties
- E above lowest polymorph: 0.15 eV per formula unit
- SG: Cmm2, No. 35
- Formation enthalpy at 0 K: 0.14 eV/atom


Entry 5:
A plane-wave DFT calculation with PBE-GGA was carried out for InSn2Pt2 after structural relaxation.

The structure in POSCAR format:
```
InSn2Pt2
1.0
-0.1574 -7.9253 -3.0217
3.2703 2.7319 -7.3354
2.7252 -0.4530 1.0462
Sn In Pt
4 2 4
Direct
0.8635 0.6365 0.0000
0.1365 0.3635 0.0000
0.3635 0.8635 0.0000
0.6365 0.1365 0.0000
0.5000 0.5000 0.0000
0.0000 0.0000 0.0000
0.3417 0.1583 0.5000
0.6583 0.8417 0.5000
0.8417 0.3417 0.5000
0.1583 0.6583 0.5000
```

## Properties
- E above lowest polymorph: 0.58 eV per formula unit
- SG: P4/mbm, No. 127
- Formation enthalpy at 0 K: -0.16 eV/atom


Entry 6:
A plane-wave DFT calculation with PBE-GGA was carried out for TbCd2Cu after structural relaxation.

The structure in POSCAR format:
```
TbCd2Cu
1.0
4.9192 0.0000 0.0000
2.4596 4.2601 0.0000
2.4596 1.4200 4.0165
Cd Cu Tb
2 1 1
Direct
0.2500 0.2500 0.2500
0.7500 0.7500 0.7500
0.5000 0.5000 0.5000
0.0000 0.0000 0.0000
```

## Properties
- SG: Fm-3m, No. 225
- Formation enthalpy at 0 K: -0.12 eV/atom


Listing M_tot for the structures above in their given order: 2.0; 1.0; 0.0; 0.0; 0.0; 0.0 μB/f.u..